DFT (PBE) results for a relaxed structure of SbPtCl4.

a = 5.702 Å, b = 5.702 Å, c = 5.702 Å
α = 60.00°, β = 60.00°, γ = 60.00°
Fractional positions:
Sb  0.000  0.000  0.000
Pt  0.750  0.750  0.750
Cl  0.872  0.376  0.376
Cl  0.376  0.376  0.872
Cl  0.376  0.872  0.376
Cl  0.376  0.376  0.376

## Properties
As for the space-group type: F-43m (216). The value obtained for the total magnetic moment is 1.38 μB/f.u. As for the crystal system: cubic. The value obtained for the raw formation energy is 0.906 eV/atom. The value obtained for the total energy is -12.11 eV for the cell shown.



DFT (PBE) results for a relaxed structure of LaPr5Ga6.

a = 5.277 Å, b = 7.467 Å, c = 8.355 Å
α = 90.00°, β = 71.67°, γ = 90.00°
Fractional positions:
Pr  0.665  0.500  0.670
Pr  0.333  0.000  0.334
Pr  0.000  0.500  0.000
Pr  0.667  0.000  0.666
Pr  0.335  0.500  0.330
Ga  0.832  0.748  0.336
Ga  0.832  0.252  0.336
Ga  0.500  0.251  0.000
Ga  0.500  0.749  0.000
Ga  0.168  0.748  0.664
Ga  0.168  0.252  0.664
La  0.000  0.000  0.000

## Properties
As for the space-group type: P2/m (10). The value obtained for the total magnetic moment is 0.00 μB/f.u. As for the crystal system: monoclinic. The value obtained for the total energy is -53.54 eV for the cell shown. The energy of formation comes out at -546 meV/atom.



DFT (PBE) results for a relaxed structure of YHfOsPd.

a = 4.762 Å, b = 4.762 Å, c = 4.762 Å
α = 60.00°, β = 60.00°, γ = 60.00°
Fractional positions:
Y  0.250  0.250  0.250
Hf  0.750  0.750  0.750
Os  0.000  0.000  0.000
Pd  0.500  0.500  0.500

## Properties
As for the space-group type: F-43m (216). The value obtained for the total magnetic moment is 0.00 μB/f.u. As for the crystal system: cubic. The value obtained for the total energy is -35.07 eV for the cell shown. The energy of formation comes out at -558 meV/atom.



DFT (PBE) results for a relaxed structure of SrTcF5.

a = 5.305 Å, b = 6.129 Å, c = 6.129 Å
α = 66.62°, β = 64.36°, γ = 64.36°
Fractional positions:
Sr  0.000  0.945  0.055
Tc  0.500  0.460  0.540
F  0.726  0.234  0.314
F  0.500  0.762  0.238
F  0.274  0.686  0.766
F  0.746  0.222  0.778
F  0.254  0.222  0.778

## Properties
As for the space-group type: Imm2 (44). The value obtained for the total magnetic moment is 4.00 μB/f.u. As for the crystal system: orthorhombic. The value obtained for the raw formation energy is -2.568 eV/atom. The value obtained for the total energy is -39.38 eV for the cell shown.